[1]
Compound: Pm14SmCd
Source: the Alexandria database
Functional: PBE-GGA
Structure: relaxed

Structure (POSCAR):
```
Pm14SmCd
1.0
-1.194 0.927 -7.046
-1.956 -6.912 -0.577
-9.725 2.586 1.988
Pm Sm Cd
14 1 1
Direct
0.375 0.625 0.500
0.875 0.125 0.500
0.876 0.626 0.000
0.875 0.624 0.500
0.374 0.124 0.000
0.376 0.125 0.500
0.627 0.877 0.754
0.627 0.877 0.246
0.123 0.373 0.754
0.123 0.373 0.246
0.124 0.876 0.753
0.124 0.876 0.247
0.627 0.373 0.755
0.627 0.373 0.245
0.375 0.625 0.000
0.875 0.125 0.000
```

Summary:
Energy of formation in eV/atom: -0.011
Total magnetization in μB/cell: 0.0

[2]
Compound: MnInNi
Source: the Alexandria database
Functional: PBE-GGA
Structure: relaxed

Structure (POSCAR):
```
MnInNi
1.0
6.261 2.425 1.837
4.579 4.910 1.837
4.579 3.099 4.229
In Ni Mn
1 1 1
Direct
0.605 0.605 0.605
0.044 0.044 0.044
0.464 0.464 0.464
```

Summary:
Energy of formation in eV/atom: 0.382
Total magnetization in μB/cell: 4.3

[3]
Compound: La2GaPd
Source: the Alexandria database
Functional: PBE-GGA
Structure: relaxed

Structure (POSCAR):
```
La2GaPd
1.0
-3.301 1.123 -1.200
-0.768 -3.434 -1.101
-3.011 -1.525 6.858
Ga Pd La
1 1 2
Direct
0.500 0.500 0.500
0.500 0.500 0.000
0.000 0.000 0.762
0.000 0.000 0.238
```

Summary:
Energy of formation in eV/atom: -0.649
Total magnetization in μB/cell: 0.0

[4]
Compound: KRhSe2
Source: the Alexandria database
Functional: PBE-GGA
Structure: relaxed

Structure (POSCAR):
```
KRhSe2
1.0
8.255 0.001 -0.004
-0.001 6.661 0.000
0.868 0.000 3.679
K Rh Se
2 2 4
Direct
0.022 0.868 0.376
0.355 0.368 0.209
0.551 0.847 0.111
0.825 0.347 0.474
0.743 0.131 0.015
0.634 0.631 0.570
0.009 0.462 0.882
0.367 0.962 0.703
```

Summary:
Raw formation energy in meV/atom: -631
Total magnetization in μB/cell: 0.0

[5]
Compound: NpBi2PdO8
Source: the Alexandria database
Functional: PBE-GGA
Structure: relaxed

Structure (POSCAR):
```
NpBi2PdO8
1.0
-2.157 2.497 3.907
1.314 -4.047 2.842
6.664 2.166 1.345
Np Bi Pd O
1 2 1 8
Direct
0.000 0.000 0.000
0.454 0.545 0.736
0.546 0.455 0.264
0.000 0.000 0.500
0.213 0.782 0.171
0.699 0.703 0.999
0.851 0.150 0.239
0.787 0.218 0.829
0.301 0.297 0.001
0.149 0.850 0.761
0.711 0.713 0.500
0.289 0.287 0.500
```

Summary:
Raw formation energy in meV/atom: -1489
Total magnetization in μB/cell: 0.0

[6]
Compound: K2GaPt
Source: the Alexandria database
Functional: PBE-GGA
Structure: relaxed

Structure (POSCAR):
```
K2GaPt
1.0
-2.847 2.330 2.327
-0.315 -0.610 4.298
5.368 7.113 3.519
K Ga Pt
2 1 1
Direct
0.891 0.643 0.574
0.714 0.487 0.085
0.469 0.232 0.829
0.136 0.899 0.829
```

Summary:
Energy of formation in eV/atom: -0.325
Total magnetization in μB/cell: 0.0

[7]
Compound: AcYCu2S4
Source: the Alexandria database
Functional: PBE-GGA
Structure: relaxed

Structure (POSCAR):
```
AcYCu2S4
1.0
6.529 0.000 0.000
3.265 5.280 0.090
3.265 0.523 5.255
Ac Y Cu S
1 1 2 4
Direct
0.000 0.000 0.000
0.500 0.500 0.500
0.165 0.335 0.335
0.835 0.665 0.665
0.455 0.099 0.503
0.057 0.901 0.497
0.943 0.503 0.099
0.545 0.497 0.901
```

Summary:
Raw formation energy in meV/atom: -1296
Total magnetization in μB/cell: 0.0

[8]
Compound: Ho8Ga2Ni
Source: the Alexandria database
Functional: PBE-GGA
Structure: relaxed

Structure (POSCAR):
```
Ho8Ga2Ni
1.0
4.897 0.000 0.000
0.000 6.531 0.377
-2.448 -2.296 8.756
Ho Ga Ni
8 2 1
Direct
0.409 0.541 0.818
0.650 0.980 0.300
0.790 0.684 0.581
0.978 0.221 0.957
0.210 0.316 0.419
0.350 0.020 0.700
0.591 0.459 0.182
0.022 0.779 0.043
0.811 0.242 0.623
0.189 0.758 0.377
0.500 0.000 0.000
```

Summary:
Energy of formation in eV/atom: -0.275
Total magnetization in μB/cell: 0.0